Here is a relaxed NdMg2Cu crystal from Alexandria via LeMat-Bulk. Energies are from PBE-GGA.

a = 3.2533 Å, b = 3.2533 Å, c = 10.6457 Å
α = 81.21°, β = 81.21°, γ = 60.00°
Atoms (fractional coordinates):
Mg1 0.1048 0.1048 0.6855
Mg2 0.8952 0.8952 0.3145
Nd1 0.0000 0.0000 0.0000
Cu1 0.5000 0.5000 0.5000

Summary:
Crystal system: trigonal
Spin magnetization, μB per cell: 0.0
Energy of formation, eV/atom: 0.248